# 1
! Hf2Be2AlIr5 PBE optimized geometry; values from VASP
! Crystal system: tetragonal
! E (eV/atom): -8.485
! SG: P4/mbm, No. 127
! Formation energy from the elements (eV/f.u.): -9.4
! D(E_F) (states/eV/f.u.): 2.77
&SYSTEM
  ibrav = 0, nat = 20, ntyp = 4
/
ATOMIC_SPECIES
Al 26.98 Al.upf
Ir 192.22 Ir.upf
Hf 178.49 Hf.upf
Be 9.01 Be.upf
CELL_PARAMETERS angstrom
3.2021 0.0000 0.0000
0.0000 9.3853 0.0000
0.0000 0.0000 9.3853
ATOMIC_POSITIONS angstrom
Al 0.0000 4.6926 4.6926
Al 0.0000 0.0000 0.0000
Ir 1.6010 0.6545 7.4154
Ir 1.6010 7.4154 8.7308
Ir 1.6010 0.0000 4.6926
Ir 1.6010 1.9698 0.6545
Ir 1.6010 2.7228 5.3471
Ir 1.6010 4.0382 2.7228
Ir 1.6010 4.6926 0.0000
Ir 1.6010 5.3471 6.6625
Ir 1.6010 6.6625 4.0382
Ir 1.6010 8.7308 1.9698
Hf 0.0000 7.7368 6.3411
Hf 0.0000 1.6485 3.0441
Hf 0.0000 3.0441 7.7368
Hf 0.0000 6.3411 1.6485
Be 0.0000 3.5443 1.1483
Be 0.0000 1.1483 5.8409
Be 0.0000 8.2370 3.5443
Be 0.0000 5.8409 8.2370

---

# 2
! PuAg6Te8 PBE optimized geometry; values from VASP
! Crystal system: trigonal
! E (eV/atom): -3.911
! SG: R-3, No. 148
! D(E_F) (states/eV/f.u.): 16.82
&SYSTEM
  ibrav = 0, nat = 15, ntyp = 3
/
ATOMIC_SPECIES
Ag 107.87 Ag.upf
Te 127.60 Te.upf
Pu 244.00 Pu.upf
CELL_PARAMETERS angstrom
7.6045 -0.4808 -0.4966
-0.7178 7.5858 -0.4966
-0.7178 -0.7405 7.5659
ATOMIC_POSITIONS angstrom
Ag 2.7826 4.3698 0.9861
Ag 0.7577 2.8076 4.3993
Ag 4.2809 0.8916 2.9478
Ag 3.3864 1.9946 5.5867
Ag 5.4113 3.5568 2.1735
Ag 1.8881 5.4728 3.6250
Te 6.6431 0.0692 4.2169
Te 1.9192 1.9800 2.0448
Te 4.2498 4.3845 4.5280
Te -0.1380 4.0009 6.7743
Te -0.4741 6.2952 2.3558
Te 6.3069 2.3635 -0.2016
Te 2.1657 -0.4068 6.3678
Te 4.0033 6.7712 0.2049
Pu 0.0000 0.0000 0.0000

---

# 3
! BaNi2W PBE optimized geometry; values from VASP
! Crystal system: monoclinic
! E (eV/atom): -6.004
! SG: Pm, No. 6
! Formation energy from the elements (eV/f.u.): 2.4
! Offset from the most stable computed form (eV/atom): 0.342
! D(E_F) (states/eV/f.u.): 3.94
&SYSTEM
  ibrav = 0, nat = 4, ntyp = 3
/
ATOMIC_SPECIES
Ni 58.69 Ni.upf
W 183.84 W.upf
Ba 137.33 Ba.upf
CELL_PARAMETERS angstrom
3.9144 0.0000 0.0000
0.0000 3.3607 0.0144
0.0000 0.8776 6.4994
ATOMIC_POSITIONS angstrom
Ni 1.9572 0.6494 2.0337
Ni 0.0000 0.4782 0.4874
W 0.0000 2.1404 2.1369
Ba 1.9572 3.0894 5.1125

---

# 4
! Cd6RhAu PBE optimized geometry; values from VASP
! Crystal system: orthorhombic
! E (eV/atom): -2.075
! SG: Fmmm, No. 69
! Formation energy from the elements (eV/f.u.): -0.5
! D(E_F) (states/eV/f.u.): 3.97
&SYSTEM
  ibrav = 0, nat = 8, ntyp = 3
/
ATOMIC_SPECIES
Rh 102.91 Rh.upf
Cd 112.41 Cd.upf
Au 196.97 Au.upf
CELL_PARAMETERS angstrom
5.0941 -0.4106 0.5647
2.2184 6.3315 1.7635
2.9017 3.4018 5.9308
ATOMIC_POSITIONS angstrom
Rh 0.0000 0.0000 0.0000
Cd 5.1133 7.3050 5.9874
Cd 7.6636 8.3431 7.1431
Cd 2.5566 3.6813 3.0142
Cd 5.1009 2.0176 2.2716
Cd 7.6577 5.6413 5.2448
Cd 2.5506 0.9796 1.1159
Au 5.1071 4.6613 4.1295

---

# 5
! Ac6Ru2SeCl3 PBE optimized geometry; values from VASP
! Crystal system: monoclinic
! E (eV/atom): -5.546
! SG: C2/m, No. 12
! D(E_F) (states/eV/f.u.): 10.38
&SYSTEM
  ibrav = 0, nat = 12, ntyp = 4
/
ATOMIC_SPECIES
Ac 227.00 Ac.upf
Se 78.96 Se.upf
Ru 101.07 Ru.upf
Cl 35.45 Cl.upf
CELL_PARAMETERS angstrom
7.6454 -0.0074 0.0111
-3.8272 6.6185 0.0111
-1.2616 -2.1844 7.8666
ATOMIC_POSITIONS angstrom
Ac 2.7448 -0.0004 1.6396
Ac 3.9286 2.0494 6.2493
Ac 0.1111 0.1923 6.2407
Ac -1.3721 2.3772 1.6396
Ac -0.1882 4.4270 6.2493
Ac 2.4455 4.2343 1.6482
Se 0.0000 0.0000 0.0000
Ru 3.8168 2.2038 0.0111
Ru 0.0014 4.4073 0.0111
Cl 1.2783 2.2133 3.9444
Cl -2.5104 4.4014 3.9444
Cl 5.0670 0.0252 3.9444

---

# 6
! CsKNbCl6 PBE optimized geometry; values from VASP
! Crystal system: trigonal
! E (eV/atom): -4.165
! SG: P-31c, No. 163
! D(E_F) (states/eV/f.u.): 8.16
&SYSTEM
  ibrav = 0, nat = 18, ntyp = 4
/
ATOMIC_SPECIES
K 39.10 K.upf
Cl 35.45 Cl.upf
Nb 92.91 Nb.upf
Cs 132.91 Cs.upf
CELL_PARAMETERS angstrom
-5.8683 -4.8580 -0.3796
5.0401 0.3464 -5.7147
7.6616 -9.7370 6.1669
ATOMIC_POSITIONS angstrom
K 3.5140 -10.4259 2.4672
K 3.3194 -3.8226 -2.3946
Cl -0.8252 -6.6186 1.5281
Cl 7.6586 -7.6299 -1.4556
Cl 6.6133 -6.4982 1.6300
Cl 0.2327 -4.4387 -2.7209
Cl 0.2201 -7.7504 -1.5574
Cl 9.4553 -8.4100 1.4572
Cl 2.0142 -5.3018 0.0796
Cl 4.8192 -8.9467 -0.0071
Cl 6.6007 -9.8098 2.7935
Cl -2.6219 -5.8386 -1.3846
Cl -0.9206 -3.3964 0.3576
Cl 7.7540 -10.8521 -0.2851
Nb -0.3168 -5.5574 -0.6163
Nb 7.1502 -8.6911 0.6888
Cs 0.0000 0.0000 0.0000
Cs 3.8308 -4.8685 3.0835

---

# 7
! Pm3SbAs PBE optimized geometry; values from VASP
! Crystal system: cubic
! E (eV/atom): -5.208
! SG: Pm-3m, No. 221
! Offset from the most stable computed form (eV/atom): 0.495
! D(E_F) (states/eV/f.u.): 4.68
&SYSTEM
  ibrav = 0, nat = 5, ntyp = 3
/
ATOMIC_SPECIES
Pm 145.00 Pm.upf
As 74.92 As.upf
Sb 121.76 Sb.upf
CELL_PARAMETERS angstrom
-3.3363 -3.6851 -2.3620
2.6064 -4.0585 2.6505
-3.5165 0.4881 4.2055
ATOMIC_POSITIONS angstrom
Pm 1.3032 -2.0293 1.3252
Pm -1.7582 0.2440 2.1027
Pm -1.6681 -1.8426 -1.1810
As 0.0000 0.0000 0.0000
Sb -2.1232 -3.6278 2.2470

---

# 8
! RbAcAs2 PBE optimized geometry; values from VASP
! Crystal system: cubic
! E (eV/atom): -4.066
! SG: Fm-3m, No. 225
! Formation energy from the elements (eV/f.u.): -1.9
! Offset from the most stable computed form (eV/atom): 0.347
! D(E_F) (states/eV/f.u.): 5.35
&SYSTEM
  ibrav = 0, nat = 4, ntyp = 3
/
ATOMIC_SPECIES
As 74.92 As.upf
Rb 85.47 Rb.upf
Ac 227.00 Ac.upf
CELL_PARAMETERS angstrom
-2.0262 -3.1825 4.0876
-1.9200 -5.0959 -1.1344
2.8270 -4.4793 1.6987
ATOMIC_POSITIONS angstrom
As -0.2798 -3.1894 1.1630
As -0.8394 -9.5682 3.4889
Rb -0.5596 -6.3788 2.3259
Ac 0.0000 0.0000 0.0000

---

# 9
! Cd2Si5N8 PBE optimized geometry; values from VASP
! Crystal system: orthorhombic
! E (eV/atom): -7.107
! SG: Pbca, No. 61
&SYSTEM
  ibrav = 0, nat = 120, ntyp = 3
/
ATOMIC_SPECIES
N 14.01 N.upf
Si 28.09 Si.upf
Cd 112.41 Cd.upf
CELL_PARAMETERS angstrom
9.6768 0.0000 0.0000
0.0000 10.7162 0.0000
0.0000 0.0000 13.6192
ATOMIC_POSITIONS angstrom
N 1.3420 2.8059 2.5758
N 8.5808 1.2156 2.7004
N 2.6639 9.9212 13.2566
N 8.5808 6.5737 4.1093
N 3.7424 4.1424 2.7004
N 7.1151 8.1345 8.3764
N 3.6418 5.7008 9.5400
N 8.5712 4.0329 3.0207
N 4.2664 4.7210 12.1874
N 3.7328 6.6833 3.7890
N 3.7424 9.5005 4.1093
N 3.4965 2.8059 9.3854
N 1.1966 5.7008 2.7303
N 2.1745 9.9212 6.4470
N 5.3632 8.1097 13.1983
N 9.1048 5.9952 8.2415
N 2.5617 7.9398 1.5668
N 5.9440 4.0329 9.8303
N 1.0960 9.5005 10.9189
N 1.1056 6.6833 10.5986
N 1.1056 1.3252 9.8303
N 5.3632 2.7516 7.2305
N 0.5248 7.9646 13.1983
N 6.0350 5.0154 4.0793
N 9.1520 2.7516 0.4209
N 7.4001 8.1345 1.5668
N 4.3136 2.6065 0.4209
N 8.4802 5.0154 10.8889
N 0.5720 4.7210 5.3778
N 5.9344 6.5737 10.9189
N 2.2767 2.5817 12.0525
N 1.0960 4.1424 9.5100
N 3.6418 0.3427 10.8889
N 5.4104 5.9952 1.4319
N 4.2664 10.0791 8.2415
N 7.0130 0.7949 0.3627
N 6.1804 7.9103 4.2338
N 7.4001 2.7764 5.2428
N 6.1804 2.5522 2.5758
N 7.0130 6.1530 6.4470
N 2.5617 2.5817 5.2428
N 2.1745 4.5632 0.3627
N 8.3349 2.5522 9.3854
N 1.3420 8.1640 4.2338
N 2.6639 4.5632 7.1723
N 3.4965 8.1640 11.0434
N 7.1151 2.7764 12.0525
N 5.4104 0.6371 5.3778
N 9.1048 0.6371 12.1874
N 0.5248 2.6065 7.2305
N 5.9440 9.3910 10.5986
N 0.5720 10.0791 1.4319
N 7.5023 0.7949 7.1723
N 4.3136 7.9646 6.3887
N 3.7328 1.3252 3.0207
N 8.5712 9.3910 3.7890
N 6.0350 10.3735 2.7303
N 1.1966 0.3427 4.0793
N 8.3349 7.9103 11.0434
N 8.4802 10.3735 9.5400
N 2.2767 7.9398 8.3764
N 9.1520 8.1097 6.3887
N 7.5023 6.1530 13.2566
N 5.9344 1.2156 9.5100
Si 0.3595 8.0058 11.4988
Si 2.6296 7.1729 9.8636
Si 9.3173 2.7104 2.1204
Si 7.4680 3.5433 10.5653
Si 7.5586 6.4053 11.5687
Si 4.7699 5.5457 2.9171
Si 5.1979 2.7104 8.9300
Si 8.1233 1.7715 13.0262
Si 6.9566 1.0472 2.0505
Si 2.7202 9.6690 11.5687
Si 4.4789 2.6477 2.1204
Si 6.9566 6.4053 4.7591
Si 1.5536 3.5866 6.2166
Si 9.3173 8.0685 4.6892
Si 2.2089 7.1729 3.0539
Si 8.1233 7.1296 7.4026
Si 0.0685 5.5457 9.7267
Si 9.6083 5.1705 3.8925
Si 4.4789 8.0058 4.6892
Si 4.9069 5.1705 10.7021
Si 2.1182 9.6690 4.7591
Si 3.2849 8.9447 7.4026
Si 7.4680 8.9014 9.8636
Si 2.2089 1.8148 3.7557
Si 9.6083 10.5286 2.9171
Si 0.3595 2.6477 8.9300
Si 4.9069 10.5286 9.7267
Si 7.0473 3.5433 3.7557
Si 7.0473 8.9014 3.0539
Si 2.7202 4.3109 8.8601
Si 0.0685 0.1876 10.7021
Si 3.2849 3.5866 13.0262
Si 7.5586 1.0472 8.8601
Si 2.6296 1.8148 10.5653
Si 5.1979 8.0685 11.4988
Si 6.3920 7.1296 0.5930
Si 6.3920 1.7715 6.2166
Si 1.5536 8.9447 0.5930
Si 4.7699 0.1876 3.8925
Si 2.1182 4.3109 2.0505
Cd 9.2424 6.5540 1.0891
Cd 3.4894 1.1233 6.7820
Cd 4.4040 9.5203 1.0891
Cd 8.3279 4.2348 6.7820
Cd 6.1874 9.5929 6.8372
Cd 8.3279 9.5929 0.0276
Cd 4.4040 4.1622 5.7205
Cd 1.3490 6.4814 6.8372
Cd 0.4345 9.5203 7.8987
Cd 5.2729 6.5540 7.8987
Cd 3.4894 6.4814 0.0276
Cd 9.2424 1.1959 5.7205
Cd 6.1874 4.2348 13.5916
Cd 0.4345 4.1622 12.5302
Cd 5.2729 1.1959 12.5302
Cd 1.3490 1.1233 13.5916

---

# 10
! Y3Ga12Cu PBE optimized geometry; values from VASP
! Crystal system: tetragonal
! E (eV/atom): -4.124
! SG: P4/mmm, No. 123
! Formation energy from the elements (eV/f.u.): -6.2
! D(E_F) (states/eV/f.u.): 4.25
&SYSTEM
  ibrav = 0, nat = 16, ntyp = 3
/
ATOMIC_SPECIES
Ga 69.72 Ga.upf
Y 88.91 Y.upf
Cu 63.55 Cu.upf
CELL_PARAMETERS angstrom
4.2638 0.0000 0.0000
0.0000 4.2638 0.0000
0.0000 0.0000 16.5885
ATOMIC_POSITIONS angstrom
Ga 2.1319 0.0000 10.4646
Ga 0.0000 2.1319 14.8515
Ga 2.1319 2.1319 8.2943
Ga 2.1319 0.0000 1.7371
Ga 2.1319 2.1319 12.4712
Ga 0.0000 2.1319 10.4646
Ga 2.1319 0.0000 6.1239
Ga 2.1319 0.0000 14.8515
Ga 2.1319 2.1319 0.0000
Ga 0.0000 2.1319 6.1239
Ga 0.0000 2.1319 1.7371
Ga 2.1319 2.1319 4.1173
Y 0.0000 0.0000 3.9416
Y 0.0000 0.0000 8.2943
Y 0.0000 0.0000 12.6469
Cu 0.0000 0.0000 0.0000

---

# 11
! LaPm2Th3As6 PBE optimized geometry; values from VASP
! Crystal system: monoclinic
! E (eV/atom): -6.869
! SG: C2/m, No. 12
! Formation energy from the elements (eV/f.u.): -17.8
! D(E_F) (states/eV/f.u.): 5.45
&SYSTEM
  ibrav = 0, nat = 12, ntyp = 4
/
ATOMIC_SPECIES
La 138.91 La.upf
As 74.92 As.upf
Th 232.04 Th.upf
Pm 145.00 Pm.upf
CELL_PARAMETERS angstrom
-3.8672 2.9559 5.5674
2.1842 -7.0559 0.3626
6.4852 3.3571 1.0825
ATOMIC_POSITIONS angstrom
La 0.0000 0.0000 0.0000
As 2.5622 1.1263 6.1134
As 0.3793 -2.2171 4.7057
As 0.2031 1.5005 2.6509
As 4.4229 1.4741 2.3067
As 2.2400 -1.8693 0.8990
As 4.5990 -2.2435 4.3615
Th 2.4011 -0.3715 3.5062
Th 0.3780 2.9756 5.2462
Th 4.4241 -3.7186 1.7662
Pm -1.8507 -0.3804 3.8329
Pm 0.1676 -3.7196 2.0970

---

# 12
! MgTe PBE optimized geometry; values from VASP
! Crystal system: hexagonal
! E (eV/atom): -3.200
! SG: P6_3/mmc, No. 194
&SYSTEM
  ibrav = 0, nat = 4, ntyp = 2
/
ATOMIC_SPECIES
Te 127.60 Te.upf
Mg 24.30 Mg.upf
CELL_PARAMETERS angstrom
-1.8699 3.1567 2.1148
1.4832 -3.3669 2.0971
6.0836 3.1250 0.7145
ATOMIC_POSITIONS angstrom
Te 1.8864 -0.4111 2.2816
Te 3.8105 3.3259 2.6448
Mg 0.0000 0.0000 0.0000
Mg 3.0418 1.5625 0.3573